Entry 1:
Ba2YMgTe5: optimized geometry, PBE.

a = 10.3444 Å, b = 10.3444 Å, c = 14.0874 Å
α = 90.00°, β = 90.00°, γ = 153.99°
Closest atoms and distances in Å follow each position.
Positions (direct):
Ba (0.1131, 0.8869, 0.5000)  8 Te 3.51-3.87
Ba (0.1278, 0.8722, 0.1281)  7 Te 3.47-3.67
Ba (0.8722, 0.1278, 0.6281)  7 Te 3.47-3.67
Ba (0.8869, 0.1131, 0.0000)  8 Te 3.51-3.87
Y (0.2079, 0.7921, 0.8280)  6 Te 3.03-3.15
Y (0.7921, 0.2079, 0.3280)  6 Te 3.03-3.15
Mg (0.4405, 0.5595, 0.2559)  4 Te 2.75-2.91
Mg (0.5595, 0.4405, 0.7559)  4 Te 2.75-2.91
Te (0.0543, 0.9457, 0.8654)  2 Mg 2.79
Te (0.2911, 0.7089, 0.4736)  2 Y 3.10
Te (0.3065, 0.6935, 0.1786)  1 Mg 2.91, 2 Y 3.15
Te (0.3582, 0.6418, 0.8182)  1 Y 3.03
Te (0.4961, 0.5039, 0.5829)  1 Mg 2.75
Te (0.5039, 0.4961, 0.0829)  1 Mg 2.75
Te (0.6418, 0.3582, 0.3182)  1 Y 3.03
Te (0.6935, 0.3065, 0.6786)  1 Mg 2.91, 2 Y 3.15
Te (0.7089, 0.2911, 0.9736)  2 Y 3.10
Te (0.9457, 0.0543, 0.3654)  2 Mg 2.79

As for the space group: Cmc2_1 (36). For the raw formation energy, the calculation gives -1332 meV per atom.

Entry 2:
CaGa2Ni4: optimized geometry, PBE.

a = 7.2761 Å, b = 7.2761 Å, c = 3.8341 Å
α = 90.00°, β = 90.00°, γ = 90.00°
Closest atoms and distances in Å follow each position.
Positions (direct):
Ca (0.0000, 0.0000, 0.0000)  6 Ga 2.85-2.99, 4 Ni 3.17
Ca (0.5000, 0.5000, 0.5000)  6 Ga 2.85-2.99, 4 Ni 3.17
Ga (0.2226, 0.2226, 0.5000)  6 Ni 2.42-2.47
Ga (0.2774, 0.7226, 0.0000)  6 Ni 2.42-2.47
Ga (0.7226, 0.2774, 0.0000)  6 Ni 2.42-2.47
Ga (0.7774, 0.7774, 0.5000)  6 Ni 2.42-2.47
Ni (0.0895, 0.6441, 0.5000)  3 Ga 2.42-2.47, 5 Ni 2.47-2.59
Ni (0.1441, 0.4105, 0.0000)  3 Ga 2.42-2.47, 5 Ni 2.47-2.59
Ni (0.3559, 0.9105, 0.5000)  3 Ga 2.42-2.47, 5 Ni 2.47-2.59
Ni (0.4105, 0.1441, 0.0000)  3 Ga 2.42-2.47, 5 Ni 2.47-2.59
Ni (0.5895, 0.8559, 0.0000)  3 Ga 2.42-2.47, 5 Ni 2.47-2.59
Ni (0.6441, 0.0895, 0.5000)  3 Ga 2.42-2.47, 5 Ni 2.47-2.59
Ni (0.8559, 0.5895, 0.0000)  3 Ga 2.42-2.47, 5 Ni 2.47-2.59
Ni (0.9105, 0.3559, 0.5000)  3 Ga 2.42-2.47, 5 Ni 2.47-2.59

The formation energy is -2.52 eV/f.u. As for the space group: P4_2/mnm (136).

Entry 3:
Sc2Fe2H: optimized geometry, PBE.

a = 5.0387 Å, b = 5.0387 Å, c = 5.8042 Å
α = 90.00°, β = 90.00°, γ = 90.00°
Closest atoms and distances in Å follow each position.
Positions (direct):
Sc (0.0000, 0.5000, 0.2500)  4 Fe 2.54
Sc (0.0000, 0.5000, 0.7500)  4 Fe 2.54
Sc (0.5000, 0.0000, 0.2500)  4 Fe 2.54
Sc (0.5000, 0.0000, 0.7500)  4 Fe 2.54
Fe (0.0000, 0.0000, 0.2003)  1 H 1.74
Fe (0.0000, 0.0000, 0.7997)  1 H 1.74
Fe (0.5000, 0.5000, 0.2997)  1 H 1.74
Fe (0.5000, 0.5000, 0.7003)  1 H 1.74
H (0.0000, 0.0000, 0.5000)  2 Fe 1.74
H (0.5000, 0.5000, 0.0000)  2 Fe 1.74

The calculation puts the total energy at -6.186 eV/atom. As for the space group: I4/mmm (139).

Entry 4:
LaCr2Ge: optimized geometry, PBE.

a = 7.4140 Å, b = 7.4140 Å, c = 5.6707 Å
α = 90.00°, β = 90.00°, γ = 90.00°
Closest atoms and distances in Å follow each position.
Positions (direct):
La (0.0000, 0.0000, 0.0000)  2 Ge 2.84, 8 Cr 3.08-3.13
La (0.0000, 0.5000, 0.2500)  2 Ge 2.84, 8 Cr 3.08-3.13
La (0.5000, 0.0000, 0.7500)  2 Ge 2.84, 8 Cr 3.08-3.13
La (0.5000, 0.5000, 0.5000)  2 Ge 2.84, 8 Cr 3.08-3.13
Cr (0.1826, 0.7500, 0.6250)  2 Ge 2.40
Cr (0.2500, 0.1826, 0.3750)  2 Ge 2.40
Cr (0.2500, 0.3174, 0.8750)  2 Ge 2.40
Cr (0.3174, 0.7500, 0.1250)  2 Ge 2.40
Cr (0.6826, 0.2500, 0.1250)  2 Ge 2.40
Cr (0.7500, 0.6826, 0.8750)  2 Ge 2.40
Cr (0.7500, 0.8174, 0.3750)  2 Ge 2.40
Cr (0.8174, 0.2500, 0.6250)  2 Ge 2.40
Ge (0.0000, 0.0000, 0.5000)  4 Cr 2.40
Ge (0.0000, 0.5000, 0.7500)  4 Cr 2.40
Ge (0.5000, 0.0000, 0.2500)  4 Cr 2.40
Ge (0.5000, 0.5000, 0.0000)  4 Cr 2.40

The formation energy is 3.16 eV/f.u. As for the space group: I-42d (122).

Entry 5:
Cs2U2VS6: optimized geometry, PBE.

a = 6.6986 Å, b = 6.6986 Å, c = 8.5775 Å
α = 97.64°, β = 97.64°, γ = 119.48°
Closest atoms and distances in Å follow each position.
Positions (direct):
Cs (0.1683, 0.8317, 0.0000)  6 S 3.47-3.56, 2 Cs 3.87
Cs (0.8317, 0.1683, 0.0000)  6 S 3.47-3.56, 2 Cs 3.87
U (0.3337, 0.6663, 0.5000)  6 S 2.71-2.72
U (0.6663, 0.3337, 0.5000)  6 S 2.71-2.72
V (0.0000, 0.0000, 0.5000)  6 S 2.55-2.56
S (0.0596, 0.3748, 0.6740)  1 V 2.56, 2 U 2.72
S (0.2544, 0.2544, 0.3269)  1 V 2.55, 2 U 2.71
S (0.3748, 0.0596, 0.6740)  1 V 2.56, 2 U 2.72
S (0.6252, 0.9404, 0.3260)  1 V 2.56, 2 U 2.72
S (0.7456, 0.7456, 0.6731)  1 V 2.55, 2 U 2.71
S (0.9404, 0.6252, 0.3260)  1 V 2.56, 2 U 2.72

As for the space group: C2/m (12). For the raw formation energy, the calculation gives -1291 meV per atom.

Entry 6:
AsP2Ru: optimized geometry, PBE.

a = 7.6652 Å, b = 3.4367 Å, c = 5.4654 Å
α = 90.00°, β = 100.79°, γ = 90.00°
Closest atoms and distances in Å follow each position.
Positions (direct):
As (0.0000, 0.0000, 0.0000)  4 P 2.67-2.93, 3 Ru 2.74-2.80
As (0.5000, 0.5000, 0.0000)  4 P 2.67-2.93, 3 Ru 2.74-2.80
P (0.2841, 0.0000, 0.6262)  1 P 2.12
P (0.4457, 0.0000, 0.3509)  1 P 2.12, 3 Ru 2.29-2.36
P (0.7841, 0.5000, 0.6262)  1 P 2.12
P (0.9457, 0.5000, 0.3509)  1 P 2.12, 3 Ru 2.29-2.36
Ru (0.2313, 0.5000, 0.2846)  5 P 2.29-2.51
Ru (0.7313, 0.0000, 0.2846)  5 P 2.29-2.51

The formation energy is 0.03 eV/f.u. As for the space group: Cm (8).

Entry 7:
FeTcAs2: optimized geometry, PBE.

a = 3.3160 Å, b = 4.7358 Å, c = 7.5894 Å
α = 90.00°, β = 90.00°, γ = 90.00°
Closest atoms and distances in Å follow each position.
Positions (direct):
Fe (0.0000, 0.0000, 0.0000)  4 As 2.43
Fe (0.5000, 0.5000, 0.5000)  4 As 2.43
Tc (0.0000, 0.0000, 0.5000)  4 As 2.61, 4 Fe 2.89
Tc (0.5000, 0.5000, 0.0000)  4 As 2.61, 4 Fe 2.89
As (0.0000, 0.5000, 0.2659)  2 Fe 2.43, 2 Tc 2.61
As (0.0000, 0.5000, 0.7341)  2 Fe 2.43, 2 Tc 2.61
As (0.5000, 0.0000, 0.2341)  2 Fe 2.43, 2 Tc 2.61
As (0.5000, 0.0000, 0.7659)  2 Fe 2.43, 2 Tc 2.61

The formation energy is 1.15 eV/f.u. As for the space group: Immm (71).

Q: Which DOS(E_F) values were calculated for the entries above? A: 6.6, 3.8, 3.2, 7.1, 13.4, 1.4, 3.9, in states/eV/f.u..